# PBE-GGA LaHo4Er4, relaxed
data_LaHo4Er4
_chemical_formula_sum 'La2 Ho8 Er8'
_space_group_name_H-M_alt 'P -1'
_space_group_IT_number 2
_cell_length_a 6.1822
_cell_length_b 8.8170
_cell_length_c 10.7073
_cell_angle_alpha 78.26
_cell_angle_beta 89.95
_cell_angle_gamma 83.21
loop_
_space_group_symop_operation_xyz
'x,y,z'
'-x,-y,-z'
loop_
_atom_site_label
_atom_site_type_symbol
_atom_site_fract_x
_atom_site_fract_y
_atom_site_fract_z
La1 La 0.2499 0.9999 0.2501
Ho1 Ho 0.1383 0.6631 0.1386
Ho2 Ho 0.1385 0.6641 0.4736
Ho3 Ho 0.1413 0.6642 0.8057
Ho4 Ho 0.3617 0.3356 0.0263
Er1 Er 0.2497 0.0001 0.9167
Er2 Er 0.2505 0.0003 0.5829
Er3 Er 0.3590 0.3357 0.6937
Er4 Er 0.3622 0.3368 0.3618
# * E above lowest polymorph: 0.000 eV/f.u.
# * DFT formation energy: 0.035 eV per formula unit
# * D(E_F): 1.5386 states/eV/atom